First-principles (GGA-PBE) data for Sr3Ac2TlSe6 after structural relaxation, as listed in the Alexandria database.

Its uncorrected formation energy is -1.791 eV per atom. Its crystal system is monoclinic.

Cell lengths 19.495, 4.474, 9.055 Å; angles 90.00, 102.88, 90.00 degrees
Space group C2/m (No. 12)
Symmetry-distinct sites (fractional):
Sr  0.000  0.000  0.000 (multiplicity 2)
Sr  0.161  0.500  0.336 (multiplicity 4)
Ac  0.165  0.500  0.830 (multiplicity 4)
Tl  0.000  0.000  0.500 (multiplicity 2)
Se  0.003  0.500  0.767 (multiplicity 4)
Se  0.168  0.000  0.085 (multiplicity 4)
Se  0.174  0.000  0.590 (multiplicity 4)

=====

First-principles (GGA-PBE) data for LaPm2YHo after structural relaxation, as listed in the Alexandria database.

Its crystal system is orthorhombic. The value obtained for the formation energy is 0.43 eV/atom.

Cell lengths 8.491, 9.791, 8.278 Å; angles 90.00, 90.00, 90.00 degrees
Space group Cmcm (No. 63)
Symmetry-distinct sites (fractional):
La  0.000  0.102  0.250 (multiplicity 4)
Pm  0.232  0.000  0.000 (multiplicity 8)
Y  0.000  0.395  0.250 (multiplicity 4)
Ho  0.000  0.258  0.750 (multiplicity 4)

=====

First-principles (GGA-PBE) data for B2N after structural relaxation, as listed in the Alexandria database.

Its uncorrected formation energy is -0.495 eV per atom. Its crystal system is triclinic. The calculation puts the energy relative to the lowest polymorph listed for this composition at 111 meV/atom.

Cell lengths 2.476, 3.414, 7.337 Å; angles 86.21, 80.28, 69.13 degrees
Space group P1 (No. 1)
Symmetry-distinct sites (fractional):
B  0.000  0.000  0.000 (multiplicity 1)
B  0.117  0.000  0.767 (multiplicity 1)
B  0.418  0.001  0.163 (multiplicity 1)
B  0.768  0.000  0.463 (multiplicity 1)
N  0.320  0.000  0.360 (multiplicity 1)
N  0.669  0.000  0.662 (multiplicity 1)

=====

First-principles (GGA-PBE) data for Ca2ReBi after structural relaxation, as listed in the Alexandria database.

Its crystal system is tetragonal. The value obtained for the formation energy is 0.54 eV/atom.

Cell lengths 10.609, 10.609, 5.270 Å; angles 90.00, 90.00, 90.00 degrees
Space group I-42d (No. 122)
Symmetry-distinct sites (fractional):
Ca  0.082  0.750  0.125 (multiplicity 8)
Re  0.000  0.000  0.000 (multiplicity 4)
Bi  0.000  0.000  0.500 (multiplicity 4)

=====

no.,E_tot (eV/atom),N(E_F) (states/eV per cell)
1,-4.84,6.39
2,-4.67,24.04
3,-7.72,1.07
4,-4.55,17.37